[1]
LiCuP2Br: optimized geometry, PBE.

Cell lengths 4.9845, 4.3907, 4.9845 Å; angles 90.00, 90.00, 90.00 degrees
Sites, in units of the cell vectors:
P 0.0000 0.0000 0.5000
P 0.5000 0.0000 0.0000
Cu 0.5000 0.5000 0.5000
Br 0.0000 0.0000 0.0000
Li 0.0000 0.5000 0.0000

Summary:
**N(E_F)**: 2.9 states/eV/f.u.
**Uncorrected formation energy**: 0.93 eV/atom

---

[2]
ScPd3Au4: optimized geometry, PBE.

Cell lengths 3.0244, 10.3268, 30.9483 Å; angles 171.12, 92.80, 90.00 degrees
Sites, in units of the cell vectors:
Sc 0.5000 0.0000 0.0000
Pd 0.0000 0.5000 0.0000
Pd 0.2027 0.3346 0.4055
Pd 0.7973 0.6654 0.5945
Au 0.5287 0.9098 0.0574
Au 0.4713 0.0902 0.9426
Au 0.7349 0.7871 0.4699
Au 0.2651 0.2129 0.5301

Summary:
**N(E_F)**: 2.6 states/eV/f.u.
**Energy of formation from the pure elements**: -284 meV/atom

---

[3]
La2PaTl: optimized geometry, PBE.

Cell lengths 3.4178, 3.4178, 10.1908 Å; angles 90.00, 90.00, 90.00 degrees
Sites, in units of the cell vectors:
Tl 0.5000 0.5000 0.5000
Pa 0.5000 0.5000 0.0000
La 0.0000 0.0000 0.7571
La 0.0000 0.0000 0.2429

Summary:
**N(E_F)**: 5.1 states/eV/f.u.
**Energy of formation from the pure elements**: -41 meV/atom

---

[4]
Ti8PO2: optimized geometry, PBE.

Cell lengths 4.4453, 6.4410, 6.4410 Å; angles 121.24, 91.00, 91.00 degrees
Sites, in units of the cell vectors:
Ti 0.9307 0.8704 0.6055
Ti 0.9307 0.6055 0.8704
Ti 0.3621 0.6359 0.6359
Ti 0.5000 0.7624 0.2376
Ti 0.5000 0.2376 0.7624
Ti 0.6379 0.3641 0.3641
Ti 0.0693 0.3945 0.1296
Ti 0.0693 0.1296 0.3945
P 0.5000 0.0000 0.0000
O 0.0000 0.2410 0.7590
O 0.0000 0.7590 0.2410

Summary:
**N(E_F)**: 9.1 states/eV/f.u.
**Uncorrected formation energy**: -0.95 eV/atom

---

[5]
TbPr5In6: optimized geometry, PBE.

Cell lengths 5.4889, 9.5086, 9.5089 Å; angles 59.97, 73.21, 54.70 degrees
Sites, in units of the cell vectors:
Tb 0.0000 0.0000 0.0000
Pr 0.4999 0.1719 0.6564
Pr 0.0001 0.3358 0.3283
Pr 0.5000 0.5000 0.0000
Pr 0.9999 0.6642 0.6717
Pr 0.5001 0.8281 0.3436
In 0.7566 0.0798 0.3268
In 0.2433 0.5934 0.3270
In 0.2632 0.2366 0.0002
In 0.7368 0.7634 0.9998
In 0.7567 0.4066 0.6730
In 0.2434 0.9202 0.6732

Summary:
**N(E_F)**: 5.9 states/eV/f.u.
**Energy of formation from the pure elements**: -490 meV/atom

---

[6]
Y5ErSc2: optimized geometry, PBE.

Cell lengths 5.3005, 6.3265, 16.0869 Å; angles 90.00, 90.00, 114.77 degrees
Sites, in units of the cell vectors:
Y 0.9472 0.8943 0.9006
Y 0.9472 0.8943 0.5994
Y 0.3552 0.7104 0.4603
Y 0.3552 0.7104 0.0397
Y 0.5228 0.0456 0.2500
Y 0.4772 0.9544 0.7500
Y 0.6448 0.2896 0.5397
Y 0.6448 0.2896 0.9603
Y 0.0528 0.1057 0.0994
Y 0.0528 0.1057 0.4006
Er 0.7568 0.5136 0.7500
Er 0.2432 0.4864 0.2500
Sc 0.7678 0.5357 0.3538
Sc 0.7678 0.5357 0.1462
Sc 0.2322 0.4643 0.6462
Sc 0.2322 0.4643 0.8538

Summary:
**N(E_F)**: 13.3 states/eV/f.u.
**Energy of formation from the pure elements**: 137 meV/atom

---

[7]
MgCr: optimized geometry, PBE.

Cell lengths 10.2302, 10.2302, 3.0118 Å; angles 90.00, 90.00, 90.00 degrees
Sites, in units of the cell vectors:
Mg 0.1825 0.5000 0.0000
Mg 0.8175 0.5000 0.0000
Mg 0.5000 0.8175 0.0000
Mg 0.5000 0.1825 0.0000
Mg 0.6825 0.0000 0.5000
Mg 0.3175 0.0000 0.5000
Mg 0.0000 0.3175 0.5000
Mg 0.0000 0.6825 0.5000
Cr 0.8012 0.8012 0.0000
Cr 0.8012 0.1988 0.0000
Cr 0.1988 0.8012 0.0000
Cr 0.1988 0.1988 0.0000
Cr 0.3012 0.3012 0.5000
Cr 0.3012 0.6988 0.5000
Cr 0.6988 0.3012 0.5000
Cr 0.6988 0.6988 0.5000

Summary:
**N(E_F)**: 1.5 states/eV/f.u.
**Energy of formation from the pure elements**: 659 meV/atom

---

[8]
Rb2NbAlBr6: optimized geometry, PBE.

Cell lengths 7.9431, 7.9431, 7.9421 Å; angles 60.00, 60.00, 90.00 degrees
Last column: magnetic moment on the atom in μB.
Sites, in units of the cell vectors:
Nb 0.0000 0.0000 0.0000  1.64
Br 0.2374 0.2374 0.5251  0.00
Br 0.7626 0.7626 0.4749  0.00
Br 0.2374 0.2374 0.0000  0.00
Br 0.7626 0.7626 0.0000  0.00
Br 0.7626 0.2374 0.0000  0.00
Br 0.2374 0.7626 0.0000  0.00
Rb 0.7500 0.2500 0.5000  0.00
Rb 0.2500 0.7500 0.5000  0.00
Al 0.5000 0.5000 0.0000  -0.01

Summary:
**N(E_F)**: 11.9 states/eV/f.u.
**Uncorrected formation energy**: -1.03 eV/atom

---

[9]
LiMg3Ir2: optimized geometry, PBE.

Cell lengths 3.1045, 4.4881, 13.7812 Å; angles 90.00, 90.00, 90.00 degrees
Sites, in units of the cell vectors:
Li 0.9999 0.5000 0.5000
Li 0.0001 0.0000 0.0000
Mg 0.5000 0.5000 0.6801
Mg 0.4999 0.0000 0.5000
Mg 0.5000 0.5000 0.3199
Mg 0.5000 0.0000 0.1801
Mg 0.5001 0.5000 0.0000
Mg 0.5000 0.0000 0.8199
Ir 0.0000 0.0000 0.6553
Ir 0.0000 0.0000 0.3447
Ir 0.0000 0.5000 0.1553
Ir 0.0000 0.5000 0.8447

Summary:
**N(E_F)**: 1.7 states/eV/f.u.
**Energy of formation from the pure elements**: -302 meV/atom

---

[10]
La2NbRe: optimized geometry, PBE.

Cell lengths 5.1699, 5.1699, 5.1699 Å; angles 60.00, 60.00, 60.00 degrees
Last column: magnetic moment on the atom in μB.
Sites, in units of the cell vectors:
Re 0.5000 0.5000 0.5000  0.53
Nb 0.0000 0.0000 0.0000  1.83
La 0.2500 0.2500 0.2500  0.17
La 0.7500 0.7500 0.7500  0.17

Summary:
**N(E_F)**: 4.7 states/eV/f.u.
**Energy of formation from the pure elements**: 703 meV/atom

---

[11]
KRh2Pb: optimized geometry, PBE.

Cell lengths 3.3431, 3.3740, 8.4852 Å; angles 66.67, 90.00, 90.00 degrees
Sites, in units of the cell vectors:
K 0.5000 0.2500 0.2500
Pb 0.5000 0.7500 0.7500
Rh 0.0000 0.0610 0.9399
Rh 0.0000 0.4390 0.5601

Summary:
**N(E_F)**: 2.5 states/eV/f.u.
**Energy of formation from the pure elements**: 326 meV/atom

---

[12]
Ba2UCrN5: optimized geometry, PBE.

Cell lengths 3.5728, 7.9035, 11.5292 Å; angles 90.00, 90.00, 103.06 degrees
Last column: magnetic moment on the atom in μB.
Sites, in units of the cell vectors:
Ba 0.8617 0.7234 0.8323  0.00
Ba 0.1145 0.2290 0.6738  0.00
Ba 0.1383 0.2766 0.3323  0.00
Ba 0.8855 0.7710 0.1738  0.00
U 0.8055 0.6111 0.5294  0.17
U 0.1945 0.3889 0.0294  0.17
Cr 0.5493 0.0986 0.9315  0.84
Cr 0.4507 0.9014 0.4315  0.84
N 0.3233 0.6467 0.0092  0.00
N 0.6691 0.3382 0.9069  0.02
N 0.5020 0.0041 0.8043  -0.06
N 0.2966 0.5933 0.6413  -0.01
N 0.9533 0.9066 0.4953  -0.07
N 0.6767 0.3533 0.5092  0.00
N 0.3309 0.6618 0.4069  0.02
N 0.4980 0.9959 0.3043  -0.06
N 0.7034 0.4067 0.1413  -0.01
N 0.0467 0.0934 0.9953  -0.07

Summary:
**Uncorrected formation energy**: -0.88 eV/atom